{
  "formula": "Tb2YHo5Mg",
  "functional": "PBE",
  "state": "optimized geometry",
  "rho_g_cm3": 7.407,
  "dos_at_fermi_per_ev_cell": 25.9,
  "magmom_total_mub_per_cell": 0.00,
  "final_energy_ev_per_atom": -4.36,
  "cell": [[2.6997, -9.9248, 0.0000], [2.6997, 9.9248, 0.0000], [0.0000, 0.0000, 10.5061]],
  "species": ["Tb", "Tb", "Tb", "Tb", "Y", "Y", "Ho", "Ho", "Ho", "Ho", "Ho", "Ho", "Ho", "Ho", "Ho", "Ho", "Mg", "Mg"],
  "frac_coords": [[0.1145, 0.8855, 0.5000], [0.1146, 0.8854, 0.9209], [0.8855, 0.1145, 0.0000], [0.8854, 0.1146, 0.4209], [0.2059, 0.7941, 0.2104], [0.7941, 0.2059, 0.7104], [0.0147, 0.9853, 0.2104], [0.2905, 0.7095, 0.5082], [0.2912, 0.7088, 0.9123], [0.3840, 0.6160, 0.2104], [0.5004, 0.4996, 0.4597], [0.4996, 0.5004, 0.9597], [0.6160, 0.3840, 0.7104], [0.7095, 0.2905, 0.0082], [0.7088, 0.2912, 0.4123], [0.9853, 0.0147, 0.7104], [0.4055, 0.5945, 0.7089], [0.5945, 0.4055, 0.2089]]
}